Cr3O8 | PBE+U | relaxed

```
Cr3O8
1.0
-3.970 0.927 4.832
-5.221 -3.478 0.783
0.763 -3.257 3.307
Cr O
3 8
Cartesian
0.382 -1.628 1.654
-4.315 -0.290 3.713
-4.875 -2.261 1.901
-2.987 -4.096 5.378
-5.440 -1.712 3.543
-7.577 -5.227 8.027
-0.851 -0.581 0.894
-5.362 -4.730 4.201
-4.657 -2.247 6.484
-3.770 -3.561 2.438
-3.065 -1.078 4.721
```

Output
- DOS(E_F) (states/eV per atom) = 0.31
- symmetry = C2/m, No. 12
- offset from the most stable computed form (meV per atom) = 302